A plane-wave DFT calculation with PBE was carried out for a geometry-optimized TbSm6Dy2Y structure.

Space group   C2/c, No. 15
Formation energy   116 meV per atom
Total moment   0.00 μB/atom
Fermi-level density of states   27.974 states/eV/cell

Lattice parameters (Å, degrees): 8.896 8.896 9.658 94.00 94.00 118.07
Positions (direct):
Tb  0.026  0.974  0.750
Tb  0.974  0.026  0.250
Sm  0.016  0.567  0.684
Sm  0.119  0.757  0.055
Sm  0.243  0.881  0.445
Sm  0.291  0.507  0.880
Sm  0.433  0.984  0.816
Sm  0.493  0.709  0.620
Sm  0.507  0.291  0.380
Sm  0.567  0.016  0.184
Sm  0.709  0.493  0.120
Sm  0.757  0.119  0.555
Sm  0.881  0.243  0.945
Sm  0.984  0.433  0.316
Dy  0.199  0.300  0.544
Dy  0.300  0.199  0.044
Dy  0.700  0.801  0.956
Dy  0.801  0.700  0.456
Y  0.409  0.591  0.250
Y  0.591  0.409  0.750